Entry 1:
# TiZnAu3

A relaxed TiZnAu3 crystal (PBE, the Alexandria database).

The value obtained for the total energy is -16.43 eV/cell. Its energy above the most stable polymorph in this dataset is 779 meV/atom. The density comes out at 11.0 Mg/m³. As for the formation energy: 0.51 eV/atom.

The space group is Pm-3m (No. 221) and the conventional cell measures 4.737, 4.737 and 4.737 Å, with angles of 90.00, 90.00 and 90.00 degrees. Symmetry generates all atoms from Ti at (0.000, 0.000, 0.000), Zn at (0.500, 0.500, 0.500) and Au at (0.000, 0.500, 0.500).

***

Entry 2:
# Mo2AsP

A relaxed Mo2AsP crystal (PBE, the Alexandria database).

The value obtained for the total energy is -95.39 eV/cell. Its energy above the most stable polymorph in this dataset is 388 meV/atom. The density comes out at 7.7 Mg/m³. As for the formation energy: -0.02 eV/atom.

The space group is R3m (No. 160, hexagonal axes) and the conventional cell measures 3.0861, 3.0861 and 23.2723 Å, with angles of 90.00, 90.00 and 120.00 degrees. Symmetry generates all atoms from Mo at (0.0000, 0.0000, 0.0000), Mo at (0.0000, 0.0000, 0.2397), As at (0.0000, 0.0000, 0.4942) and P at (0.0000, 0.0000, 0.7373).

***

Entry 3:
# HoBeAl

A relaxed HoBeAl crystal (PBE, the Alexandria database).

The value obtained for the total energy is -50.36 eV/cell. Its energy above the most stable polymorph in this dataset is 79 meV/atom. The density comes out at 5.7 Mg/m³. As for the formation energy: -0.18 eV/atom.

The space group is F-43m (No. 216) and the conventional cell measures 6.148, 6.148 and 6.148 Å, with angles of 90.00, 90.00 and 90.00 degrees. Symmetry generates all atoms from Ho at (0.000, 0.000, 0.000), Be at (0.250, 0.250, 0.750) and Al at (0.000, 0.000, 0.500).

***

Entry 4:
# DyHfGa4

A relaxed DyHfGa4 crystal (PBE, the Alexandria database).

The value obtained for the total energy is -58.75 eV/cell. Its energy above the most stable polymorph in this dataset is 0 meV/atom. The density comes out at 9.0 Mg/m³. As for the formation energy: -0.45 eV/atom.

The space group is Immm (No. 71) and the conventional cell measures 4.169, 7.221 and 7.602 Å, with angles of 90.00, 90.00 and 90.00 degrees. Symmetry generates all atoms from Dy at (0.000, 0.000, 0.000), Hf at (0.000, 0.000, 0.500) and Ga at (0.000, 0.334, 0.248).

***

Entry 5:
# K2MgPIr

A relaxed K2MgPIr crystal (PBE, the Alexandria database).

The value obtained for the total energy is -14.52 eV/cell. The density comes out at 2.9 Mg/m³. As for the formation energy: 0.71 eV/atom.

The space group is P4/mmm (No. 123) and the conventional cell measures 6.335, 6.335 and 4.683 Å, with angles of 90.00, 90.00 and 90.00 degrees. Symmetry generates all atoms from K at (0.000, 0.500, 0.000), Mg at (0.000, 0.000, 0.500), P at (0.000, 0.000, 0.000) and Ir at (0.500, 0.500, 0.500).

***

Entry 6:
# ZnGeO2

A relaxed ZnGeO2 crystal (PBE, the Alexandria database).

The value obtained for the total energy is -58.95 eV/cell. Its energy above the most stable polymorph in this dataset is 54 meV/atom. Its formation energy from raw total energies is -961 meV per atom. The density comes out at 6.0 Mg/m³.

The space group is R-3m (No. 166, hexagonal axes) and the conventional cell measures 3.0234, 3.0234 and 17.7683 Å, with angles of 90.00, 90.00 and 120.00 degrees. Symmetry generates all atoms from Zn at (0.0000, 0.0000, 0.0000), Ge at (0.0000, 0.0000, 0.5000) and O at (0.0000, 0.0000, 0.3966).